(1)
Nd2HoN3 | PBE-GGA | relaxed

a b c (Å): 3.5675 3.5675 8.7474
angles (deg): 90.00 90.00 120.00
With the nearest neighbours (Å) after each atom.
Element x y z (fractional)
Nd 0.3333 0.6667 0.3282  6 N 2.55
Nd 0.6667 0.3333 0.6718  6 N 2.55
Ho 0.0000 0.0000 0.0000  6 N 2.47
N 0.0000 0.0000 0.5000  6 Nd 2.55
N 0.3333 0.6667 0.8442  3 Ho 2.47, 3 Nd 2.55
N 0.6667 0.3333 0.1558  3 Ho 2.47, 3 Nd 2.55

***

(2)
MgPIrO | PBE-GGA | relaxed

a b c (Å): 3.6891 3.6891 7.5784
angles (deg): 90.00 90.00 90.00
With the nearest neighbours (Å) after each atom.
Element x y z (fractional)
Mg 0.2500 0.7500 0.0000  4 P 2.56, 4 Mg 2.61
Mg 0.7500 0.2500 0.0000  4 P 2.56, 4 Mg 2.61
P 0.2500 0.2500 0.2344  4 Mg 2.56, 4 Ir 2.71, 4 O 2.73
P 0.7500 0.7500 0.7656  4 Mg 2.56, 4 Ir 2.71, 4 O 2.73
Ir 0.2500 0.2500 0.6700  4 O 2.25
Ir 0.7500 0.7500 0.3300  4 O 2.25
O 0.2500 0.7500 0.5000  4 Ir 2.25
O 0.7500 0.2500 0.5000  4 Ir 2.25

Calculated values
* energy relative to the lowest polymorph listed for this composition: 1.562 eV/atom

***

(3)
CdTePtO | PBE-GGA | relaxed

a b c (Å): 6.8239 13.5145 6.9158
angles (deg): 90.00 90.00 90.00
With the nearest neighbours (Å) after each atom.
Element x y z (fractional)
Cd 0.0564 0.2277 0.1912  3 O 2.22-2.31
Cd 0.0564 0.2723 0.6912  3 O 2.22-2.31
Cd 0.4436 0.7277 0.1912  3 O 2.22-2.31
Cd 0.4436 0.7723 0.6912  3 O 2.22-2.31
Cd 0.5564 0.2277 0.3088  3 O 2.22-2.31
Cd 0.5564 0.2723 0.8088  3 O 2.22-2.31
Cd 0.9436 0.7277 0.3088  3 O 2.22-2.31
Cd 0.9436 0.7723 0.8088  3 O 2.22-2.31
Te 0.0014 0.5198 0.7551  4 Pt 2.58-2.83
Te 0.0014 0.9802 0.2551  4 Pt 2.58-2.83
Te 0.4986 0.0198 0.7551  4 Pt 2.58-2.83
Te 0.4986 0.4802 0.2551  4 Pt 2.58-2.83
Te 0.5014 0.5198 0.7449  4 Pt 2.58-2.83
Te 0.5014 0.9802 0.2449  4 Pt 2.58-2.83
Te 0.9986 0.0198 0.7449  4 Pt 2.58-2.83
Te 0.9986 0.4802 0.2449  4 Pt 2.58-2.83
Pt 0.2429 0.0837 0.4582  1 O 2.29
Pt 0.2429 0.4163 0.9582  1 O 2.29
Pt 0.2571 0.5837 0.4582  1 O 2.29
Pt 0.2571 0.9163 0.9582  1 O 2.29
Pt 0.7429 0.0837 0.0418  1 O 2.29
Pt 0.7429 0.4163 0.5418  1 O 2.29
Pt 0.7571 0.5837 0.0418  1 O 2.29
Pt 0.7571 0.9163 0.5418  1 O 2.29
O 0.1509 0.7331 0.5719  3 Cd 2.22-2.31, 1 Pt 2.29
O 0.1509 0.7669 0.0719  3 Cd 2.22-2.31, 1 Pt 2.29
O 0.3491 0.2331 0.5719  3 Cd 2.22-2.31, 1 Pt 2.29
O 0.3491 0.2669 0.0719  3 Cd 2.22-2.31, 1 Pt 2.29
O 0.6509 0.7331 0.9281  3 Cd 2.22-2.31, 1 Pt 2.29
O 0.6509 0.7669 0.4281  3 Cd 2.22-2.31, 1 Pt 2.29
O 0.8491 0.2331 0.9281  3 Cd 2.22-2.31, 1 Pt 2.29
O 0.8491 0.2669 0.4281  3 Cd 2.22-2.31, 1 Pt 2.29

Calculated values
* energy relative to the lowest polymorph listed for this composition: 0.092 eV/atom

***

(4)
Na4Ag2AsP | PBE-GGA | relaxed

a b c (Å): 5.6775 5.6775 5.6422
angles (deg): 90.04 90.04 79.57
With the nearest neighbours (Å) after each atom.
Element x y z (fractional)
Na 0.1761 0.1761 0.4978  2 As 3.00-3.03, 1 Na 3.07, 2 P 3.24-3.26, 4 Ag 3.26-3.36
Na 0.5323 0.1129 0.9984  2 P 2.99-3.04, 1 Na 3.10, 2 As 3.25-3.26, 2 Ag 3.29-3.31
Na 0.8239 0.8239 0.5022  2 As 3.00-3.03, 1 Na 3.07, 2 P 3.24-3.26, 4 Ag 3.26-3.36
Na 0.8871 0.4677 0.0016  2 P 2.99-3.04, 1 Na 3.10, 2 As 3.25-3.26, 2 Ag 3.29-3.31
Ag 0.3455 0.6542 0.2498  1 P 2.45, 1 As 2.56
Ag 0.3458 0.6545 0.7502  1 P 2.45, 1 As 2.56
As 0.6398 0.3602 0.5000  2 Ag 2.56
P 0.0698 0.9302 0.0000  2 Ag 2.45

***

Table of electronic total energy (eV per formula unit), in record order: -47.9, -20.0, -16.7, -23.9
Table of V (Å³/atom), in record order: 16.1, 12.9, 19.9, 22.4